Entry from the Alexandria database: CsY2MnPb after structural relaxation (GGA-PBE).

CIF file:
```
data_CsY2MnPb
_chemical_formula_sum 'Cs1 Y2 Mn1 Pb1'
_cell_length_a 5.629
_cell_length_b 5.629
_cell_length_c 6.060
_cell_angle_alpha 90.00
_cell_angle_beta 90.00
_cell_angle_gamma 90.00
_symmetry_space_group_name_H-M 'P 4/m m m'
_symmetry_Int_Tables_number 123
_symmetry_space_group_name_Hall '-P 4 2'
loop_
_atom_site_label
_atom_site_type_symbol
_atom_site_fract_x
_atom_site_fract_y
_atom_site_fract_z
Cs1 Cs 0.000 0.000 0.000
Y1 Y 0.000 0.500 0.000
Mn1 Mn 0.500 0.500 0.500
Pb1 Pb 0.000 0.000 0.500
```

Results
- formation energy (eV per atom) = 1.70